A plane-wave DFT calculation with PBE was carried out for an optimized crystal structure of Er3ZnS. Values from VASP.

```
&SYSTEM
  ibrav = 0, nat = 10, ntyp = 3
/
ATOMIC_SPECIES
Er 167.26 Er.upf
Zn 65.41 Zn.upf
S 32.06 S.upf
CELL_PARAMETERS angstrom
-3.1100 -1.9382 -1.1020
-0.1647 -0.1334 7.3435
-4.8480 7.4796 0.5266
ATOMIC_POSITIONS angstrom
Er -4.5847 0.2010 5.9412
Er -3.5380 5.2070 0.8269
Er -5.9259 6.3459 5.5628
Er -2.1968 -0.9379 1.2053
Er -2.4445 2.0011 3.3793
Er -5.6782 3.4069 3.3888
Zn -4.0745 2.2219 0.9470
Zn -4.0483 3.1861 5.8211
S -3.3224 -0.5210 3.6488
S -4.8003 5.9290 3.1192
```

- spin magnetization (μB per formula unit) = 0.00
- space-group type = C2/m
- raw formation energy (eV per formula unit) = -4.470



A plane-wave DFT calculation with PBE was carried out for an optimized crystal structure of CrTcPt2. Values from VASP.

```
&SYSTEM
  ibrav = 0, nat = 4, ntyp = 3
/
ATOMIC_SPECIES
Cr 52.00 Cr.upf
Pt 195.08 Pt.upf
Tc 98.00 Tc.upf
CELL_PARAMETERS angstrom
2.7072 0.0000 0.0000
0.0000 3.8494 0.0000
0.0000 0.0000 5.5623
ATOMIC_POSITIONS angstrom
Cr 1.3536 1.9247 4.1406
Pt 0.0000 0.0000 5.4822
Pt 1.3536 1.9247 1.4481
Tc 0.0000 0.0000 2.8348
```

- spin magnetization (μB per formula unit) = 1.10
- ΔE_f (eV per atom) = -0.10
- space-group type = Pmm2



A plane-wave DFT calculation with PBE was carried out for an optimized crystal structure of Ba2InHg. Values from VASP.

```
&SYSTEM
  ibrav = 0, nat = 4, ntyp = 3
/
ATOMIC_SPECIES
Ba 137.33 Ba.upf
In 114.82 In.upf
Hg 200.59 Hg.upf
CELL_PARAMETERS angstrom
-7.2765 -0.9287 3.1862
2.5668 -0.8860 -7.5225
-1.1049 -2.7143 7.4414
ATOMIC_POSITIONS angstrom
Ba -6.1582 -2.6766 7.8085
Ba -2.2232 -0.9663 2.8190
In 0.0000 0.0000 0.0000
Hg -4.1907 -1.8215 5.3138
```

- spin magnetization (μB per formula unit) = 0.00
- ΔE_f (eV per atom) = 0.24
- space-group type = Immm



A plane-wave DFT calculation with PBE was carried out for an optimized crystal structure of ScC2O. Values from VASP.

```
&SYSTEM
  ibrav = 0, nat = 8, ntyp = 3
/
ATOMIC_SPECIES
Sc 44.96 Sc.upf
C 12.01 C.upf
O 16.00 O.upf
CELL_PARAMETERS angstrom
-4.1821 -2.2546 -2.0756
1.4581 -4.5526 2.0072
-2.9666 -2.7873 2.5293
ATOMIC_POSITIONS angstrom
Sc 0.0000 0.0000 0.0000
Sc -4.2553 -4.2228 0.2097
C -2.8090 -2.4787 -0.2333
C -0.7173 -4.0204 1.4467
C -3.1194 -5.0396 2.0461
C -4.7354 -7.6503 1.6624
O -1.3620 -3.4036 -0.0342
O -1.4352 -5.3718 2.2512
```

- spin magnetization (μB per formula unit) = 0.00
- space-group type = I-42d
- raw formation energy (eV per formula unit) = 4.822



A plane-wave DFT calculation with PBE was carried out for an optimized crystal structure of ZrTlFe2Si. Values from VASP.

```
&SYSTEM
  ibrav = 0, nat = 5, ntyp = 4
/
ATOMIC_SPECIES
Tl 204.38 Tl.upf
Si 28.09 Si.upf
Fe 55.84 Fe.upf
Zr 91.22 Zr.upf
CELL_PARAMETERS angstrom
-2.4989 -3.4786 -2.1593
-1.4764 -1.7954 4.6010
-3.8569 2.8488 -0.1259
ATOMIC_POSITIONS angstrom
Tl -3.9161 -1.2126 1.1579
Si -0.7382 -0.8977 2.3005
Fe -1.9285 1.4244 -0.0630
Fe -1.2494 -1.7393 -1.0796
Zr 0.0000 0.0000 0.0000
```

- spin magnetization (μB per formula unit) = 4.85
- space-group type = P4/mmm
- raw formation energy (eV per formula unit) = 6.235



Among the records above, which one has the highest spin magnetization? ZrTlFe2Si



Look up the spin magnetization of the third one. 0.00 μB per formula unit